A relaxed Bi2Te2Pd3 crystal, computed with PBE.

calculated volume	23.3	A^3/atom
space-group type	Pmmn, No. 59
energy	-4.491	eV per atom

Cell lengths 5.7514, 8.4160, 6.7462 Å; angles 90.00, 90.00, 90.00 degrees
Element x y z (fractional)
Bi 0.5000 0.2038 0.1219
Bi 0.5000 0.7962 0.1219
Bi 0.0000 0.2962 0.8781
Bi 0.0000 0.7038 0.8781
Pd 0.5000 0.5000 0.3058
Pd 0.2500 0.2500 0.5000
Pd 0.7500 0.2500 0.5000
Pd 0.2500 0.7500 0.5000
Pd 0.7500 0.7500 0.5000
Pd 0.0000 0.0000 0.6942
Te 0.0000 0.0000 0.2909
Te 0.0000 0.5000 0.3269
Te 0.5000 0.0000 0.6731
Te 0.5000 0.5000 0.7091